DFT (GGA+U) results for a relaxed Sr2NiMoO crystal.

Cell and atoms, written as extended XYZ:
```
5
Lattice="-2.058 -3.590 4.498 -0.049 -3.043 -2.451 5.755 -1.347 1.557" Properties=species:S:1:pos:R:3 pbc="T T T"
Sr -1.029 -1.795 2.249
O -0.025 -1.521 -1.226
Ni 1.824 -3.990 1.802
Sr 2.878 -0.674 0.779
Mo 0.000 0.000 0.000
```

N(E_F)   0.655 states/eV/atom
Uncorrected energy   -3.0843 eV/atom
Space-group type   No. 123

=====

DFT (GGA+U) results for a relaxed Sr2NiMoO6 crystal.

Cell and atoms, written as extended XYZ:
```
20
Lattice="5.646 0.000 -0.009 0.000 5.630 0.000 0.010 0.000 7.975" Properties=species:S:1:pos:R:3 pbc="T T T"
O 1.331 1.228 3.773
O 1.223 1.314 0.214
Ni 2.823 0.000 -0.005
Sr 0.019 5.525 1.999
O 3.119 0.036 2.060
Sr 5.638 0.104 5.967
Sr 2.809 2.710 1.984
O 2.537 5.593 5.906
Sr 2.847 2.919 5.982
O 4.325 4.402 4.193
O 1.497 4.042 0.210
O 4.051 1.501 4.197
Mo 0.000 2.815 0.000
O 5.355 2.851 1.914
O 1.605 4.129 3.769
Mo 2.828 0.000 3.983
O 0.301 2.779 6.052
O 4.159 1.587 7.756
Ni 0.005 2.815 3.988
O 4.433 4.316 7.752
```

N(E_F)   0.000 states/eV/atom
Energy above the lowest structure with this stoichiometry   0.000 eV/f.u.
Space-group type   No. 14

=====

DFT (GGA+U) results for a relaxed Sr2NiMoO6 crystal.

Cell and atoms, written as extended XYZ:
```
10
Lattice="-1.053 2.630 -4.878 -4.387 -1.588 -3.170 -4.502 3.366 -0.475" Properties=species:S:1:pos:R:3 pbc="T T T"
O -4.687 0.362 -3.732
Sr -2.486 1.102 -2.131
O -3.068 2.411 -4.561
O -4.743 2.768 -2.423
Ni 0.000 0.000 0.000
Sr -7.457 3.306 -6.393
O -6.874 1.997 -3.963
O -5.199 1.639 -6.102
Mo -4.971 2.204 -4.262
O -5.255 4.046 -4.792
```

N(E_F)   0.000 states/eV/atom
Energy above the lowest structure with this stoichiometry   0.110 eV/f.u.
Space-group type   No. 225

=====

DFT (GGA+U) results for a relaxed Sr3NiMo2O9 crystal.

Cell and atoms, written as extended XYZ:
```
15
Lattice="5.723 0.000 0.000 -2.861 4.956 0.000 0.000 0.000 6.887" Properties=species:S:1:pos:R:3 pbc="T T T"
O -1.431 2.478 0.000
Sr 0.000 3.304 4.575
Mo 0.000 3.304 1.221
O 0.000 1.667 2.246
Mo 2.861 1.652 5.666
O 1.418 4.123 2.246
O 1.444 0.833 4.642
Ni 0.000 0.000 3.444
Sr 0.000 0.000 0.000
O 2.861 0.000 0.000
O 1.431 2.478 0.000
Sr 2.861 1.652 2.313
O 4.279 0.833 4.642
O 2.861 3.289 4.642
O -1.418 4.123 2.246
```

Uncorrected energy   -6.6050 eV/atom
Space-group type   No. 164

=====

DFT (GGA+U) results for a relaxed SrNiMo2O8 crystal.

Cell and atoms, written as extended XYZ:
```
12
Lattice="6.199 0.125 0.000 -2.637 5.611 0.000 -1.781 -2.868 5.200" Properties=species:S:1:pos:R:3 pbc="T T T"
Ni 0.000 0.000 0.000
O 3.412 -1.394 3.634
O 4.544 0.429 1.566
Sr -1.319 2.806 2.600
O 3.206 3.321 0.972
O -0.226 1.478 4.229
O 2.787 1.519 3.634
Mo 3.100 0.063 2.600
O 0.356 2.416 0.972
Mo 1.781 2.868 0.000
O 1.655 -0.304 1.566
O 0.226 -1.478 4.229
```

N(E_F)   0.000 states/eV/atom
Uncorrected energy   -6.5225 eV/atom
Space-group type   No. 119

=====

DFT (GGA+U) results for a relaxed NiTeMoO6 crystal.

Cell and atoms, written as extended XYZ:
```
18
Lattice="5.249 0.000 0.000 -2.624 4.545 0.000 0.000 0.000 8.932" Properties=species:S:1:pos:R:3 pbc="T T T"
O -0.810 4.479 5.641
Ni 0.000 0.000 4.466
O 0.849 1.604 7.757
O -1.659 3.008 7.757
O 0.810 4.479 7.757
O 4.284 1.538 1.175
Te 0.000 3.030 6.699
Ni 0.000 0.000 0.000
Mo 2.624 1.515 6.699
O 3.474 2.941 3.291
Te 2.624 1.515 2.233
O 1.775 2.941 1.175
O 1.659 3.008 5.641
O 1.814 0.067 1.175
O 3.435 0.067 3.291
O 0.965 1.538 3.291
O -0.849 1.604 5.641
Mo 0.000 3.030 2.233
```

Uncorrected energy   -5.9026 eV/atom
Space-group type   No. 163

=====

DFT (GGA+U) results for a relaxed V2NiMoO8 crystal.

Cell and atoms, written as extended XYZ:
```
12
Lattice="5.711 0.000 0.000 -2.856 4.946 0.000 0.000 0.000 5.653" Properties=species:S:1:pos:R:3 pbc="T T T"
Mo 0.000 0.000 2.826
V 2.856 1.649 1.842
O 1.522 4.176 4.237
V 0.000 3.297 3.811
O -1.522 4.176 4.237
O 0.000 1.540 4.237
O 0.000 3.297 2.192
O 2.856 1.649 3.461
O 2.856 3.406 1.416
Ni 0.000 0.000 0.000
O 1.334 0.770 1.416
O 4.378 0.770 1.416
```

Uncorrected energy   -6.9278 eV/atom
Space-group type   No. 164